Record 1
VASP calculation (GGA-PBE) on a relaxed structure of CaScRu2.

Results
Calculated formation energy (eV/atom): 0.465
Fermi-level density of states (states/eV/f.u.): 4.864

Structure (POSCAR):
```
CaScRu2
1.0
7.3334 0.0000 0.0000
0.0000 7.3334 0.0000
3.6667 3.6667 2.8620
Sc Ru Ca
2 4 2
Direct
0.0000 0.0000 0.0000 Sc
0.7500 0.2500 0.5000 Sc
0.6456 0.1250 0.2500 Ru
0.1044 0.6250 0.2500 Ru
0.3750 0.3544 0.7500 Ru
0.8750 0.8956 0.7500 Ru
0.5000 0.5000 0.0000 Ca
0.2500 0.7500 0.5000 Ca
```

Record 2
VASP calculation (GGA-PBE) on a relaxed structure of Ca2ScRu.

Results
Calculated formation energy (eV/atom): 0.329
Fermi-level density of states (states/eV/f.u.): 6.106
Excess energy over the best structure of this formula in the dataset (eV per atom): 0.4369

Structure (POSCAR):
```
Ca2ScRu
1.0
3.3993 0.0213 0.0000
-0.0210 3.3993 0.0000
0.0000 0.0000 8.9617
Sc Ru Ca
1 1 2
Direct
0.5000 0.5000 0.7500 Sc
0.5000 0.5000 0.2500 Ru
0.0000 0.0000 0.0607 Ca
0.0000 0.0000 0.4393 Ca
```

> The lowest calculated formation energy belongs to which entry?

Ca2ScRu

> Among the records above, which one has the highest calculated formation energy?

CaScRu2

Please write out number 2 again, unchanged.
VASP calculation (GGA-PBE) on a relaxed structure of Ca2ScRu.

Results
Calculated formation energy (eV/atom): 0.329
Fermi-level density of states (states/eV/f.u.): 6.106
Excess energy over the best structure of this formula in the dataset (eV per atom): 0.4369

Structure (POSCAR):
```
Ca2ScRu
1.0
3.3993 0.0213 0.0000
-0.0210 3.3993 0.0000
0.0000 0.0000 8.9617
Sc Ru Ca
1 1 2
Direct
0.5000 0.5000 0.7500 Sc
0.5000 0.5000 0.2500 Ru
0.0000 0.0000 0.0607 Ca
0.0000 0.0000 0.4393 Ca
```

> What is the Fermi-level density of states in the second record?

6.106 states/eV/f.u.